1.
# Rb2NaGeSe4 (GGA-PBE, relaxed)
data_Rb2NaGeSe4
_chemical_formula_sum 'Rb4 Na2 Ge2 Se8'
_cell_length_a 8.3091
_cell_length_b 8.3091
_cell_length_c 7.5886
_cell_angle_alpha 90.00
_cell_angle_beta 90.00
_cell_angle_gamma 90.00
_symmetry_space_group_name_H-M 'I -4 2 m'
_symmetry_Int_Tables_number 121
_symmetry_space_group_name_Hall 'I -4 2'
loop_
_atom_site_label
_atom_site_type_symbol
_atom_site_fract_x
_atom_site_fract_y
_atom_site_fract_z
Rb1 Rb 0.0000 0.5000 0.0000
Na1 Na 0.0000 0.0000 0.0000
Ge1 Ge 0.0000 0.0000 0.5000
Se1 Se 0.1593 0.1593 0.3027
# Size of the total moment   0.132 μB/atom
# VASP energy   -3.489 eV/atom
# Fermi-level density of states   17.89 states/eV per cell

***

2.
# Pm2HoHf (GGA-PBE, relaxed)
data_Pm2HoHf
_chemical_formula_sum 'Pm6 Ho3 Hf3'
_cell_length_a 3.3717
_cell_length_b 3.3717
_cell_length_c 36.4244
_cell_angle_alpha 90.00
_cell_angle_beta 90.00
_cell_angle_gamma 120.00
_symmetry_space_group_name_H-M 'R -3 m'
_symmetry_Int_Tables_number 166
_symmetry_space_group_name_Hall '-R 3 2"'
loop_
_atom_site_label
_atom_site_type_symbol
_atom_site_fract_x
_atom_site_fract_y
_atom_site_fract_z
Pm1 Pm 0.0000 0.0000 0.0856
Ho1 Ho 0.0000 0.0000 0.5000
Hf1 Hf 0.0000 0.0000 0.0000
# ΔH_f (0 K)   0.373 eV per atom
# Relative energy among the computed polymorphs   0.870 eV per formula unit
# Size of the total moment   0.000 μB/atom
# Fermi-level density of states   16.70 states/eV per cell

***

3.
# Tb4DyHg (GGA-PBE, relaxed)
data_Tb4DyHg
_chemical_formula_sum 'Tb4 Dy1 Hg1'
_cell_length_a 3.5822
_cell_length_b 3.5822
_cell_length_c 14.0466
_cell_angle_alpha 90.00
_cell_angle_beta 90.00
_cell_angle_gamma 90.00
_symmetry_space_group_name_H-M 'P 4/m m m'
_symmetry_Int_Tables_number 123
_symmetry_space_group_name_Hall '-P 4 2'
loop_
_atom_site_label
_atom_site_type_symbol
_atom_site_fract_x
_atom_site_fract_y
_atom_site_fract_z
Tb1 Tb 0.0000 0.0000 0.1439
Tb2 Tb 0.5000 0.5000 0.3225
Dy1 Dy 0.0000 0.0000 0.5000
Hg1 Hg 0.5000 0.5000 0.0000
# ΔH_f (0 K)   -0.145 eV per atom
# Relative energy among the computed polymorphs   0.000 eV per formula unit
# Size of the total moment   0.000 μB/atom
# Fermi-level density of states   8.27 states/eV per cell

***

4.
# YRu3C (GGA-PBE, relaxed)
data_YRu3C
_chemical_formula_sum 'Y2 Ru6 C2'
_cell_length_a 4.5289
_cell_length_b 4.5289
_cell_length_c 8.2629
_cell_angle_alpha 90.00
_cell_angle_beta 90.00
_cell_angle_gamma 120.00
_symmetry_space_group_name_H-M 'P 63/m m c'
_symmetry_Int_Tables_number 194
_symmetry_space_group_name_Hall '-P 6c 2c'
loop_
_atom_site_label
_atom_site_type_symbol
_atom_site_fract_x
_atom_site_fract_y
_atom_site_fract_z
Y1 Y 0.3333 0.6667 0.2500
Ru1 Ru 0.0000 0.0000 0.2500
Ru2 Ru 0.3333 0.6667 0.5876
C1 C 0.0000 0.0000 0.0000
# ΔH_f (0 K)   0.777 eV per atom
# Size of the total moment   0.000 μB/atom
# Fermi-level density of states   13.34 states/eV per cell

***

5.
# Ca2NdCl (GGA-PBE, relaxed)
data_Ca2NdCl
_chemical_formula_sum 'Ca6 Nd3 Cl3'
_cell_length_a 3.7771
_cell_length_b 3.7771
_cell_length_c 30.7463
_cell_angle_alpha 90.00
_cell_angle_beta 90.00
_cell_angle_gamma 120.00
_symmetry_space_group_name_H-M 'R -3 m'
_symmetry_Int_Tables_number 166
_symmetry_space_group_name_Hall '-R 3 2"'
loop_
_atom_site_label
_atom_site_type_symbol
_atom_site_fract_x
_atom_site_fract_y
_atom_site_fract_z
Ca1 Ca 0.0000 0.0000 0.2355
Nd1 Nd 0.0000 0.0000 0.0000
Cl1 Cl 0.0000 0.0000 0.5000
# Size of the total moment   0.000 μB/atom
# VASP energy   -3.464 eV/atom
# Fermi-level density of states   7.50 states/eV per cell

***

6.
# Ho3Tm3Cd (GGA-PBE, relaxed)
data_Ho3Tm3Cd
_chemical_formula_sum 'Ho6 Tm6 Cd2'
_cell_length_a 9.2573
_cell_length_b 5.4797
_cell_length_c 9.2634
_cell_angle_alpha 90.00
_cell_angle_beta 119.97
_cell_angle_gamma 90.00
_symmetry_space_group_name_H-M 'P 1 21/m 1'
_symmetry_Int_Tables_number 11
loop_
_symmetry_equiv_pos_as_xyz
'x,y,z'
'-x,-y,-z'
'-x,y+1/2,-z'
'x,-y+1/2,z'
loop_
_atom_site_label
_atom_site_type_symbol
_atom_site_fract_x
_atom_site_fract_y
_atom_site_fract_z
Ho1 Ho 0.0633 0.2500 0.2441
Ho2 Ho 0.1808 0.2500 0.9364
Ho3 Ho 0.2444 0.7500 0.1805
Tm1 Tm 0.1069 0.7500 0.4805
Tm2 Tm 0.3738 0.7500 0.8927
Tm3 Tm 0.4806 0.2500 0.3741
Cd1 Cd 0.3331 0.2500 0.6663
# ΔH_f (0 K)   -0.031 eV per atom
# Size of the total moment   0.000 μB/atom
# Fermi-level density of states   20.19 states/eV per cell

***

7.
# BaPuCu2Se4 (GGA-PBE, relaxed)
data_BaPuCu2Se4
_chemical_formula_sum 'Ba2 Pu2 Cu4 Se8'
_cell_length_a 6.7842
_cell_length_b 7.5421
_cell_length_c 8.3847
_cell_angle_alpha 90.00
_cell_angle_beta 90.00
_cell_angle_gamma 90.00
_symmetry_space_group_name_H-M 'I 2 2 2'
_symmetry_Int_Tables_number 23
loop_
_symmetry_equiv_pos_as_xyz
'x,y,z'
'-x,-y,z'
'x,-y,-z'
'-x,y,-z'
'x+1/2,y+1/2,z+1/2'
'-x+1/2,-y+1/2,z+1/2'
'x+1/2,-y+1/2,-z+1/2'
'-x+1/2,y+1/2,-z+1/2'
loop_
_atom_site_label
_atom_site_type_symbol
_atom_site_fract_x
_atom_site_fract_y
_atom_site_fract_z
Ba1 Ba 0.0000 0.0000 0.0000
Pu1 Pu 0.0000 0.0000 0.5000
Cu1 Cu 0.0000 0.5000 0.1560
Se1 Se 0.2448 0.2025 0.2995
# Size of the total moment   0.532 μB/atom
# VASP energy   -5.670 eV/atom
# Fermi-level density of states   30.05 states/eV per cell

***

8.
# ScInAu2 (GGA-PBE, relaxed)
data_ScInAu2
_chemical_formula_sum 'Sc2 In2 Au4'
_cell_length_a 6.5196
_cell_length_b 6.5356
_cell_length_c 3.7446
_cell_angle_alpha 90.00
_cell_angle_beta 90.00
_cell_angle_gamma 90.00
_symmetry_space_group_name_H-M 'C m m m'
_symmetry_Int_Tables_number 65
_symmetry_space_group_name_Hall '-C 2 2'
loop_
_atom_site_label
_atom_site_type_symbol
_atom_site_fract_x
_atom_site_fract_y
_atom_site_fract_z
Sc1 Sc 0.0000 0.0000 0.0000
In1 In 0.0000 0.5000 0.0000
Au1 Au 0.2500 0.2500 0.5000
# ΔH_f (0 K)   -0.523 eV per atom
# Size of the total moment   0.000 μB/atom
# Fermi-level density of states   4.49 states/eV per cell